## SrPSO2 (GGA-PBEsol)

Data for SrPSO2 after structural relaxation.

a = 4.2299 Å, b = 4.2299 Å, c = 7.4507 Å
α = 90.00°, β = 90.00°, γ = 90.00°
Closest atoms and distances in Å follow each position.
Fractional positions:
Sr1 0.0000 0.0000 0.0000  4 O 2.11
P1 0.0000 0.0000 0.5000  4 S 2.99
S1 0.5000 0.5000 0.5000  4 P 2.99
O1 0.0000 0.5000 0.0000  2 Sr 2.11
O2 0.5000 0.0000 0.0000  2 Sr 2.11

## Properties
Crystal system: tetragonal
Fermi-level density of states (states/eV/cell): 3.51
Total energy (eV/atom): -4.015
Formation energy from raw total energies (kJ/mol of formula units): 235

---

## Sr10P6SO24 (GGA-PBEsol)

Data for Sr10P6SO24 after structural relaxation.

a = 9.7828 Å, b = 9.7828 Å, c = 7.1888 Å
α = 90.00°, β = 90.00°, γ = 120.00°
Closest atoms and distances in Å follow each position.
Fractional positions:
Sr1 0.0129 0.7557 0.2413  5 O 2.47-2.75
Sr2 0.2443 0.2572 0.2413  5 O 2.47-2.75
Sr3 0.2572 0.0129 0.7587  5 O 2.47-2.75
Sr4 0.3333 0.6667 0.4785  6 O 2.49-2.50
Sr5 0.3333 0.6667 0.9802  9 O 2.59-2.72
Sr6 0.6667 0.3333 0.0198  9 O 2.59-2.72
Sr7 0.6667 0.3333 0.5215  6 O 2.49-2.50
Sr8 0.7428 0.9871 0.2413  5 O 2.47-2.75
Sr9 0.7557 0.7428 0.7587  5 O 2.47-2.75
Sr10 0.9871 0.2443 0.7587  5 O 2.47-2.75
P1 0.0297 0.6312 0.7470  4 O 1.55-1.56
P2 0.3688 0.3984 0.7470  4 O 1.55-1.56
P3 0.3984 0.0297 0.2530  4 O 1.55-1.56
P4 0.6016 0.9703 0.7470  4 O 1.55-1.56
P5 0.6312 0.6016 0.2530  4 O 1.55-1.56
P6 0.9703 0.3688 0.2530  4 O 1.55-1.56
S1 0.0000 0.0000 0.0000  6 Sr 3.01
O1 0.0660 0.7560 0.5929  1 P 1.55
O2 0.1012 0.7204 0.9316  1 P 1.55
O3 0.1137 0.5350 0.7057  1 P 1.56
O4 0.1515 0.4799 0.2384  1 P 1.55
O5 0.2440 0.3100 0.5929  1 P 1.55
O6 0.2796 0.3808 0.9316  1 P 1.55
O7 0.3100 0.0660 0.4071  1 P 1.55
O8 0.3284 0.8485 0.2384  1 P 1.55
O9 0.3808 0.1012 0.0684  1 P 1.55
O10 0.4213 0.8863 0.7057  1 P 1.56
O11 0.4650 0.5787 0.7057  1 P 1.56
O12 0.4799 0.3284 0.7616  1 P 1.55
O13 0.5201 0.6716 0.2384  1 P 1.55
O14 0.5350 0.4213 0.2943  1 P 1.56
O15 0.5787 0.1137 0.2943  1 P 1.56
O16 0.6192 0.8988 0.9316  1 P 1.55
O17 0.6716 0.1515 0.7616  1 P 1.55
O18 0.6900 0.9340 0.5929  1 P 1.55
O19 0.7204 0.6192 0.0684  1 P 1.55
O20 0.7560 0.6900 0.4071  1 P 1.55
O21 0.8485 0.5201 0.7616  1 P 1.55
O22 0.8863 0.4650 0.2943  1 P 1.56
O23 0.8988 0.2796 0.0684  1 P 1.55
O24 0.9340 0.2440 0.4071  1 P 1.55

## Properties
Crystal system: trigonal
Fermi-level density of states (states/eV/cell): 0.00
Total energy (eV/atom): -7.389
Formation energy from raw total energies (kJ/mol of formula units): -11521

---

## TaP2SO (GGA-PBEsol)

Data for TaP2SO after structural relaxation.

a = 4.8778 Å, b = 4.8778 Å, c = 3.8048 Å
α = 90.00°, β = 90.00°, γ = 90.00°
Closest atoms and distances in Å follow each position.
Fractional positions:
Ta1 0.0000 0.0000 0.0000  2 O 1.90
P1 0.0000 0.5000 0.0000  2 Ta 2.44
P2 0.5000 0.0000 0.0000  2 Ta 2.44
S1 0.5000 0.5000 0.5000  8 P 3.09, 4 O 3.45
O1 0.0000 0.0000 0.5000  2 Ta 1.90

## Properties
Crystal system: tetragonal
Fermi-level density of states (states/eV/cell): 3.59
Total energy (eV/atom): -6.926
Formation energy from raw total energies (kJ/mol of formula units): -83

---

## TcPS2O (GGA-PBEsol)

Data for TcPS2O after structural relaxation.

a = 4.4085 Å, b = 4.4085 Å, c = 4.6657 Å
α = 90.00°, β = 90.00°, γ = 90.00°
Closest atoms and distances in Å follow each position.
Fractional positions:
Tc1 0.0000 0.0000 0.0000  4 S 2.20, 2 P 2.33
P1 0.0000 0.0000 0.5000  2 Tc 2.33
S1 0.0000 0.5000 0.0000  2 Tc 2.20
S2 0.5000 0.0000 0.0000  2 Tc 2.20
O1 0.5000 0.5000 0.5000  4 P 3.12, 8 S 3.21

## Properties
Crystal system: tetragonal
Fermi-level density of states (states/eV/cell): 4.42
Total energy (eV/atom): -5.440
Formation energy from raw total energies (kJ/mol of formula units): 374

---

## TeP2SO (GGA-PBEsol)

Data for TeP2SO after structural relaxation.

a = 5.0995 Å, b = 5.0995 Å, c = 4.9641 Å
α = 90.00°, β = 90.00°, γ = 90.00°
Closest atoms and distances in Å follow each position.
Fractional positions:
Te1 0.0000 0.0000 0.0000  2 S 2.48, 4 P 2.55
P1 0.0000 0.5000 0.0000  2 Te 2.55
P2 0.5000 0.0000 0.0000  2 Te 2.55
S1 0.0000 0.0000 0.5000  2 Te 2.48
O1 0.5000 0.5000 0.5000  8 P 3.56, 4 S 3.61

## Properties
Crystal system: tetragonal
Fermi-level density of states (states/eV/cell): 6.50
Total energy (eV/atom): -3.248
Formation energy from raw total energies (kJ/mol of formula units): 820
Polymorph energy (0 for the lowest one) (meV per atom): 1259

---

## TeP2SO (GGA-PBEsol)

Data for TeP2SO after structural relaxation.

a = 3.8395 Å, b = 3.8395 Å, c = 6.0537 Å
α = 90.00°, β = 90.00°, γ = 90.00°
Closest atoms and distances in Å follow each position.
Fractional positions:
Te1 0.0000 0.0000 0.0000  4 S 2.71
P1 0.0000 0.5000 0.5000  2 O 1.92
P2 0.5000 0.0000 0.5000  2 O 1.92
S1 0.5000 0.5000 0.0000  4 Te 2.71, 2 O 3.03
O1 0.5000 0.5000 0.5000  4 P 1.92

## Properties
Crystal system: tetragonal
Fermi-level density of states (states/eV/cell): 3.16
Total energy (eV/atom): -4.507
Formation energy from raw total energies (kJ/mol of formula units): 213
Polymorph energy (0 for the lowest one) (meV per atom): 0

---

## P2WSO (GGA-PBEsol)

Data for P2WSO after structural relaxation.

a = 4.7461 Å, b = 4.7461 Å, c = 3.7394 Å
α = 90.00°, β = 90.00°, γ = 90.00°
Closest atoms and distances in Å follow each position.
Fractional positions:
P1 0.0000 0.5000 0.0000  2 W 2.37
P2 0.5000 0.0000 0.0000  2 W 2.37
W1 0.0000 0.0000 0.0000  2 O 1.87
S1 0.5000 0.5000 0.5000  8 P 3.02, 4 O 3.36
O1 0.0000 0.0000 0.5000  2 W 1.87

## Properties
Crystal system: tetragonal
Fermi-level density of states (states/eV/cell): 2.87
Total energy (eV/atom): -7.049
Formation energy from raw total energies (kJ/mol of formula units): -21

---

## SbP2O7 (GGA-PBEsol)

Data for SbP2O7 after structural relaxation.

a = 4.9995 Å, b = 8.3954 Å, c = 7.1945 Å
α = 90.00°, β = 108.40°, γ = 90.00°
Closest atoms and distances in Å follow each position.
Fractional positions:
Sb1 0.2170 0.0000 0.2262  6 O 2.10-2.14
Sb2 0.7830 0.5000 0.7738  6 O 2.10-2.14
P1 0.2141 0.7314 0.6007  4 O 1.53-1.61
P2 0.3966 0.3154 0.0135  4 O 1.53-1.61
P3 0.6034 0.8154 0.9865  4 O 1.53-1.61
P4 0.7859 0.2314 0.3993  4 O 1.53-1.61
O1 0.0499 0.1933 0.3420  1 P 1.54
O2 0.1247 0.8312 0.4139  1 P 1.53
O3 0.1838 0.4517 0.9742  1 P 1.53
O4 0.2683 0.1484 0.0042  1 P 1.53
O5 0.3835 0.5823 0.5872  1 P 1.53
O6 0.4109 0.8482 0.7648  2 P 1.61
O7 0.4150 0.8164 0.1184  1 P 1.53
O8 0.5850 0.3164 0.8816  1 P 1.53
O9 0.5891 0.3482 0.2352  2 P 1.61
O10 0.6165 0.0823 0.4128  1 P 1.53
O11 0.7317 0.6484 0.9958  1 P 1.53
O12 0.8162 0.9517 0.0258  1 P 1.53
O13 0.8753 0.3312 0.5861  1 P 1.53
O14 0.9501 0.6933 0.6580  1 P 1.54

## Properties
Crystal system: monoclinic
Fermi-level density of states (states/eV/cell): 4.40
Total energy (eV/atom): -7.171
Formation energy from raw total energies (kJ/mol of formula units): -1816
Polymorph energy (0 for the lowest one) (meV per atom): 38